No. 1
Ir2Pt | GGA-PBEsol | relaxed

Cell: 2.7322 2.7322 6.6659 Å, 90.00 90.00 120.00°
Positions (direct):
Ir (0.3333, 0.6667, 0.1608)
Ir (0.6667, 0.3333, 0.8392)
Pt (0.0000, 0.0000, 0.5000)

## Properties
Polymorph energy (0 for the lowest one) in eV/f.u.: 0.00
Symmetry: P-3m1

***

No. 2
IrPt | GGA-PBEsol | relaxed

Cell: 2.7442 3.8585 5.4827 Å, 90.00 90.00 90.00°
Positions (direct):
Ir (0.2500, 0.2500, 0.1158)
Ir (0.7500, 0.7500, 0.8842)
Pt (0.2500, 0.2500, 0.6282)
Pt (0.7500, 0.7500, 0.3718)

## Properties
Symmetry: Pmmn

***

No. 3
Ir2Pt | GGA-PBEsol | relaxed

Cell: 4.7219 4.7219 4.7219 Å, 146.29 131.95 59.98°
Positions (direct):
Ir (0.1694, 0.1694, 0.0000)
Ir (0.8306, 0.8306, 0.0000)
Pt (0.5000, 0.5000, 0.0000)

## Properties
Polymorph energy (0 for the lowest one) in eV/f.u.: 0.07
Symmetry: Immm

***

No. 4
Ir3Pt | GGA-PBEsol | relaxed

Cell: 4.7126 4.7126 4.7118 Å, 99.56 99.56 33.66°
Positions (direct):
Ir (0.0000, 0.0000, 0.0000)
Ir (0.2534, 0.2534, 0.7554)
Ir (0.7466, 0.7466, 0.2446)
Pt (0.5000, 0.5000, 0.5000)

## Properties
Symmetry: C2/m

***

No. 5
RbZr2IrPt | GGA-PBEsol | relaxed

Cell: 4.8093 4.8093 4.6822 Å, 90.00 90.00 90.00°
Positions (direct):
Rb (0.0000, 0.0000, 0.0000)
Zr (0.0000, 0.5000, 0.0000)
Zr (0.5000, 0.0000, 0.0000)
Ir (0.5000, 0.5000, 0.5000)
Pt (0.0000, 0.0000, 0.5000)

## Properties
Symmetry: P4/mmm

***

No. 6
ReIrPt2 | GGA-PBEsol | relaxed

Cell: 4.7625 4.7625 4.7625 Å, 132.27 132.27 69.81°
Positions (direct):
Re (0.0000, 0.0000, 0.0000)
Ir (0.7500, 0.2500, 0.5000)
Pt (0.2500, 0.7500, 0.5000)
Pt (0.5000, 0.5000, 0.0000)

## Properties
Polymorph energy (0 for the lowest one) in eV/f.u.: 0.33
Symmetry: I-4m2

***

No. 7
ReIrPt2 | GGA-PBEsol | relaxed

Cell: 2.7300 2.7300 7.8530 Å, 90.00 90.00 90.00°
Positions (direct):
Re (0.0000, 0.0000, 0.0000)
Ir (0.5000, 0.5000, 0.2309)
Pt (0.0000, 0.0000, 0.4886)
Pt (0.5000, 0.5000, 0.7536)

## Properties
Polymorph energy (0 for the lowest one) in eV/f.u.: 0.00
Symmetry: P4mm

***

No. 8
Re2IrPt | GGA-PBEsol | relaxed

Cell: 4.7441 4.7441 4.7805 Å, 98.82 98.82 32.96°
Positions (direct):
Re (0.0000, 0.0000, 0.0000)
Re (0.7476, 0.7476, 0.2571)
Ir (0.2579, 0.2579, 0.7718)
Pt (0.4977, 0.4977, 0.5013)

## Properties
Polymorph energy (0 for the lowest one) in eV/f.u.: 0.36
Symmetry: Cm

***

No. 9
ReIrPt2 | GGA-PBEsol | relaxed

Cell: 9.1756 9.1756 9.1756 Å, 17.14 17.14 17.14°
Positions (direct):
Re (0.0000, 0.0000, 0.0000)
Ir (0.7448, 0.7448, 0.7448)
Pt (0.2508, 0.2508, 0.2508)
Pt (0.4973, 0.4973, 0.4973)

## Properties
Polymorph energy (0 for the lowest one) in eV/f.u.: 0.16
Symmetry: R3m

***

No. 10
ReIrPt | GGA-PBEsol | relaxed

Cell: 4.7327 4.7327 4.7327 Å, 146.51 131.85 59.92°
Positions (direct):
Re (0.0000, 0.0000, 0.0000)
Ir (0.6549, 0.6549, 0.0000)
Pt (0.3295, 0.3295, 0.0000)

## Properties
Polymorph energy (0 for the lowest one) in eV/f.u.: 0.00
Symmetry: Imm2

***

No. 11
Re2IrPt | GGA-PBEsol | relaxed

Cell: 4.3722 4.3722 4.3722 Å, 60.00 60.00 60.00°
Positions (direct):
Re (0.0000, 0.0000, 0.0000)
Re (0.2500, 0.2500, 0.2500)
Ir (0.5000, 0.5000, 0.5000)
Pt (0.7500, 0.7500, 0.7500)

## Properties
Polymorph energy (0 for the lowest one) in eV/f.u.: 2.17
Symmetry: F-43m

***

No. 12
ReIrPt | GGA-PBEsol | relaxed

Cell: 6.1581 6.1581 6.1581 Å, 154.40 154.40 36.52°
Positions (direct):
Re (0.0000, 0.0000, 0.0000)
Ir (0.6529, 0.6529, 0.0000)
Pt (0.3325, 0.3325, 0.0000)

## Properties
Polymorph energy (0 for the lowest one) in eV/f.u.: 0.02
Symmetry: I4mm

***

No. 13
Re2IrPt | GGA-PBEsol | relaxed

Cell: 2.7253 4.3909 4.8184 Å, 90.00 90.00 90.00°
Positions (direct):
Re (0.0000, 0.0000, 0.0000)
Re (0.0000, 0.5000, 0.3212)
Ir (0.5000, 0.5000, 0.8287)
Pt (0.5000, 0.0000, 0.4998)

## Properties
Polymorph energy (0 for the lowest one) in eV/f.u.: 0.00
Symmetry: Pmm2

***

No. 14
ReIrPt2 | GGA-PBEsol | relaxed

Cell: 2.7338 3.8722 5.5039 Å, 90.00 90.00 90.00°
Positions (direct):
Re (0.0000, 0.0000, 0.0000)
Ir (0.5000, 0.5000, 0.2268)
Pt (0.0000, 0.0000, 0.4892)
Pt (0.5000, 0.5000, 0.7464)

## Properties
Polymorph energy (0 for the lowest one) in eV/f.u.: 0.10
Symmetry: Pmm2

***

No. 15
ReIrPt2 | GGA-PBEsol | relaxed

Cell: 4.7667 4.7667 4.7478 Å, 99.26 99.26 33.13°
Positions (direct):
Re (0.0000, 0.0000, 0.0000)
Ir (0.7439, 0.7439, 0.2298)
Pt (0.2504, 0.2504, 0.7447)
Pt (0.4959, 0.4959, 0.4925)

## Properties
Polymorph energy (0 for the lowest one) in eV/f.u.: 0.29
Symmetry: Cm

***

No. 16
Re2IrPt | GGA-PBEsol | relaxed

Cell: 4.7839 4.7839 2.7017 Å, 90.00 90.00 111.47°
Positions (direct):
Re (0.0000, 0.5000, 0.0000)
Re (0.5000, 0.0000, 0.0000)
Ir (0.0000, 0.0000, 0.5000)
Pt (0.5000, 0.5000, 0.5000)

## Properties
Polymorph energy (0 for the lowest one) in eV/f.u.: 0.46
Symmetry: Cmmm

***

No. 17
IrPtRh2 | GGA-PBEsol | relaxed

Cell: 8.9709 8.9709 8.9709 Å, 17.34 17.34 17.34°
Positions (direct):
Ir (0.0000, 0.0000, 0.0000)
Pt (0.5000, 0.5000, 0.5000)
Rh (0.2520, 0.2520, 0.2520)
Rh (0.7480, 0.7480, 0.7480)

## Properties
Polymorph energy (0 for the lowest one) in eV/f.u.: 0.07
Symmetry: R-3m

***

No. 18
IrPtRh2 | GGA-PBEsol | relaxed

Cell: 2.7052 3.8230 5.4037 Å, 90.00 90.00 90.00°
Positions (direct):
Ir (0.0000, 0.0000, 0.0000)
Pt (0.5000, 0.5000, 0.2565)
Rh (0.0000, 0.0000, 0.5103)
Rh (0.5000, 0.5000, 0.7592)

## Properties
Polymorph energy (0 for the lowest one) in eV/f.u.: 0.19
Symmetry: Pmm2

***

No. 19
IrPt2Rh | GGA-PBEsol | relaxed

Cell: 9.0614 9.0614 9.0614 Å, 17.31 17.31 17.31°
Positions (direct):
Ir (0.0000, 0.0000, 0.0000)
Pt (0.5041, 0.5041, 0.5041)
Pt (0.7506, 0.7506, 0.7506)
Rh (0.2544, 0.2544, 0.2544)

## Properties
Polymorph energy (0 for the lowest one) in eV/f.u.: 0.05
Symmetry: R3m

***

No. 20
IrPt2Rh | GGA-PBEsol | relaxed

Cell: 4.7246 4.7246 4.7246 Å, 131.86 131.86 70.46°
Positions (direct):
Ir (0.0000, 0.0000, 0.0000)
Pt (0.5000, 0.5000, 0.0000)
Pt (0.7500, 0.2500, 0.5000)
Rh (0.2500, 0.7500, 0.5000)

## Properties
Polymorph energy (0 for the lowest one) in eV/f.u.: 0.10
Symmetry: I-4m2

***

No. 21
Ir2PtRh | GGA-PBEsol | relaxed

Cell: 4.6947 4.6947 2.7194 Å, 90.00 90.00 109.49°
Positions (direct):
Ir (0.0000, 0.5000, 0.0000)
Ir (0.5000, 0.0000, 0.0000)
Pt (0.0000, 0.0000, 0.5000)
Rh (0.5000, 0.5000, 0.5000)

## Properties
Polymorph energy (0 for the lowest one) in eV/f.u.: 0.24
Symmetry: Cmmm

***

No. 22
Ir2PtRh | GGA-PBEsol | relaxed

Cell: 4.6961 4.6961 4.6979 Å, 99.58 99.58 33.60°
Positions (direct):
Ir (0.2479, 0.2479, 0.2459)
Ir (0.7521, 0.7521, 0.7541)
Pt (0.0000, 0.0000, 0.5000)
Rh (0.5000, 0.5000, 0.0000)

## Properties
Polymorph energy (0 for the lowest one) in eV/f.u.: 0.12
Symmetry: C2/m

***

No. 23
Ir2PtRh | GGA-PBEsol | relaxed

Cell: 8.9916 8.9916 8.9916 Å, 17.37 17.37 17.37°
Positions (direct):
Ir (0.0000, 0.0000, 0.0000)
Ir (0.2518, 0.2518, 0.2518)
Pt (0.4995, 0.4995, 0.4995)
Rh (0.7481, 0.7481, 0.7481)

## Properties
Polymorph energy (0 for the lowest one) in eV/f.u.: 0.04
Symmetry: R3m

***

No. 24
IrPtRh2 | GGA-PBEsol | relaxed

Cell: 4.6847 4.6847 4.6847 Å, 131.90 131.90 70.38°
Positions (direct):
Ir (0.0000, 0.0000, 0.0000)
Pt (0.7500, 0.2500, 0.5000)
Rh (0.2500, 0.7500, 0.5000)
Rh (0.5000, 0.5000, 0.0000)

## Properties
Polymorph energy (0 for the lowest one) in eV/f.u.: 0.17
Symmetry: I-4m2

***

No. 25
Ir2PtRh | GGA-PBEsol | relaxed

Cell: 2.6817 4.6742 4.6147 Å, 90.00 90.77 90.00°
Positions (direct):
Ir (0.2492, 0.0000, 0.2472)
Ir (0.7508, 0.0000, 0.7528)
Pt (0.5000, 0.5000, 0.5000)
Rh (0.0000, 0.5000, 0.0000)

## Properties
Polymorph energy (0 for the lowest one) in eV/f.u.: 0.98
Symmetry: P2/m

***

No. 26
IrPtRh2 | GGA-PBEsol | relaxed

Cell: 4.6761 4.6761 4.6839 Å, 99.60 99.60 33.64°
Positions (direct):
Ir (0.0000, 0.0000, 0.0000)
Pt (0.2489, 0.2489, 0.7443)
Rh (0.4962, 0.4962, 0.4918)
Rh (0.7464, 0.7464, 0.2411)

## Properties
Polymorph energy (0 for the lowest one) in eV/f.u.: 0.16
Symmetry: Cm

***

No. 27
IrPt2Rh | GGA-PBEsol | relaxed

Cell: 4.3611 4.3611 4.3611 Å, 60.00 60.00 60.00°
Positions (direct):
Ir (0.0000, 0.0000, 0.0000)
Pt (0.2500, 0.2500, 0.2500)
Pt (0.7500, 0.7500, 0.7500)
Rh (0.5000, 0.5000, 0.5000)

## Properties
Polymorph energy (0 for the lowest one) in eV/f.u.: 1.31
Symmetry: Fm-3m

***

No. 28
Ir2PtRh | GGA-PBEsol | relaxed

Cell: 2.7146 3.8356 5.4254 Å, 90.00 90.00 90.00°
Positions (direct):
Ir (0.0000, 0.0000, 0.2447)
Ir (0.0000, 0.0000, 0.7553)
Pt (0.5000, 0.5000, 0.5000)
Rh (0.5000, 0.5000, 0.0000)

## Properties
Polymorph energy (0 for the lowest one) in eV/f.u.: 0.21
Symmetry: Pmmm

***

No. 29
Ir2Pt2Rh | GGA-PBEsol | relaxed

Cell: 6.7970 6.7970 6.7970 Å, 149.60 149.60 43.53°
Positions (direct):
Ir (0.2500, 0.7500, 0.5000)
Ir (0.7500, 0.2500, 0.5000)
Pt (0.0983, 0.0983, 0.0000)
Pt (0.9017, 0.9017, 0.0000)
Rh (0.5000, 0.5000, 0.0000)

## Properties
Symmetry: I4/mmm

***

No. 30
IrPt2Rh | GGA-PBEsol | relaxed

Cell: 2.7383 3.8460 5.4483 Å, 90.00 90.00 90.00°
Positions (direct):
Ir (0.0000, 0.0000, 0.0000)
Pt (0.5000, 0.5000, 0.2493)
Pt (0.5000, 0.5000, 0.7507)
Rh (0.0000, 0.0000, 0.5000)

## Properties
Polymorph energy (0 for the lowest one) in eV/f.u.: 0.20
Symmetry: Pmmm

***

No. 31
Ir2PtRh | GGA-PBEsol | relaxed

Cell: 4.7005 4.7005 4.7005 Å, 131.90 131.90 70.39°
Positions (direct):
Ir (0.0000, 0.0000, 0.0000)
Ir (0.7500, 0.2500, 0.5000)
Pt (0.5000, 0.5000, 0.0000)
Rh (0.2500, 0.7500, 0.5000)

## Properties
Polymorph energy (0 for the lowest one) in eV/f.u.: 0.07
Symmetry: I-4m2

***

| no. | energy (Ry/atom) | energy relative to the elements (eV per atom) |
| --- | --- | --- |
| 1 | -0.6488 | 0.043 |
| 2 | -0.6137 | 0.044 |
| 3 | -0.6470 | 0.068 |
| 4 | -0.6654 | 0.055 |
| 5 | -0.3614 | 2.281 |
| 6 | -0.6862 | -0.066 |
| 7 | -0.6922 | -0.147 |
| 8 | -0.8052 | -0.092 |
| 9 | -0.6893 | -0.108 |
| 10 | -0.7501 | -0.166 |
| 11 | -0.7719 | 0.360 |
| 12 | -0.7496 | -0.159 |
| 13 | -0.8117 | -0.182 |
| 14 | -0.6903 | -0.121 |
| 15 | -0.6870 | -0.076 |
| 16 | -0.8033 | -0.066 |
| 17 | -0.6095 | -0.027 |
| 18 | -0.6072 | 0.005 |
| 19 | -0.5858 | 0.003 |
| 20 | -0.5848 | 0.016 |
| 21 | -0.6346 | 0.053 |
| 22 | -0.6367 | 0.024 |
| 23 | -0.6383 | 0.003 |
| 24 | -0.6077 | -0.002 |
| 25 | -0.6210 | 0.239 |
| 26 | -0.6077 | -0.003 |
| 27 | -0.5625 | 0.319 |
| 28 | -0.6352 | 0.045 |
| 29 | -0.5684 | 0.608 |
| 30 | -0.5830 | 0.040 |
| 31 | -0.6377 | 0.010 |